(1)
A plane-wave DFT calculation with PBE was carried out for crystalline PPbW at its relaxed geometry.

The structure in POSCAR format:
```
PPbW
1.0
0.000 2.442 7.629
1.768 0.000 7.629
1.768 2.442 0.000
Pb W P
1 1 1
direct
0.312 0.312 0.688
0.648 0.648 0.352
0.041 0.041 0.959
```

## Properties
Calculated volume = 65.85 Å³/f.u.
Energy = -20.599 eV/f.u.
ΔE to the lowest computed polymorph = 0.240 eV per atom
Fermi-level density of states = 0.78 states/eV per cell
Symmetry = Fmm2 (42)



(2)
A plane-wave DFT calculation with PBE was carried out for crystalline P2PbW2 at its relaxed geometry.

The structure in POSCAR format:
```
P2PbW2
1.0
-3.105 2.028 -1.303
-2.290 -1.816 2.629
-1.587 4.282 4.515
W P Pb
2 2 1
direct
0.623 0.623 0.753
0.377 0.377 0.247
0.750 0.250 0.500
0.250 0.750 0.500
0.000 0.000 0.000
```

## Properties
Calculated volume = 89.47 Å³/f.u.
Energy = -38.814 eV/f.u.
ΔE to the lowest computed polymorph = 0.165 eV per atom
Fermi-level density of states = 3.14 states/eV per cell
Symmetry = I4/mmm (139)



(3)
A plane-wave DFT calculation with PBE was carried out for crystalline P4PbW at its relaxed geometry.

The structure in POSCAR format:
```
P4PbW
1.0
-2.100 -2.738 3.954
-4.530 1.550 2.150
-4.368 -2.802 -0.778
P Pb W
4 1 1
direct
0.367 0.367 0.367
0.900 0.367 0.367
0.367 0.367 0.900
0.367 0.900 0.367
0.750 0.750 0.750
0.000 0.000 0.000
```

## Properties
Calculated volume = 102.20 Å³/f.u.
Energy = -32.330 eV/f.u.
ΔE to the lowest computed polymorph = 0.932 eV per atom
Fermi-level density of states = 4.37 states/eV per cell
Symmetry = F-43m (216)



(4)
A plane-wave DFT calculation with PBE was carried out for crystalline PPbW at its relaxed geometry.

The structure in POSCAR format:
```
PPbW
1.0
5.639 -0.772 3.636
5.520 3.360 1.963
-6.657 -0.587 -0.979
Pb P W
1 1 1
direct
0.316 0.316 0.000
0.051 0.051 0.000
0.634 0.634 0.000
```

## Properties
Calculated volume = 63.40 Å³/f.u.
Energy = -21.268 eV/f.u.
ΔE to the lowest computed polymorph = 0.017 eV per atom
Fermi-level density of states = 2.64 states/eV per cell
Symmetry = I4mm (107)